BeRe2Mo | GGA-PBEsol | relaxed

* magnetic moment: 0.00 Bohr magnetons per cell
* crystal system: cubic
* energy: -10.44 eV per atom

a = 6.0212 Å, b = 6.0212 Å, c = 6.0212 Å
α = 90.00°, β = 90.00°, γ = 90.00°
Space group F-43m (No. 216)
Inequivalent atoms, fractional coordinates:
Be 0.0000 0.0000 0.0000 (multiplicity 4)
Re 0.0000 0.0000 0.5000 (multiplicity 4)
Re 0.2500 0.2500 0.2500 (multiplicity 4)
Mo 0.2500 0.2500 0.7500 (multiplicity 4)